1.
Density functional theory data (PBE) for AlNi5Ge after structural relaxation.

The structure in POSCAR format:
```
AlNi5Ge
1.0
-3.278 1.809 1.549
-2.175 -3.347 -0.692
1.276 -1.830 4.838
Al Ni Ge
1 5 1
Direct
0.500 0.500 0.000
0.000 0.500 0.754
0.000 0.500 0.246
0.500 0.000 0.754
0.500 0.000 0.246
0.500 0.500 0.500
0.000 0.000 0.500
```

Properties
Its total energy is -5.53 eV/atom. As for the spin magnetization: 0.00 Bohr magnetons per cell. Its density of states at the Fermi level is 4.09 states/eV/f.u. As for the formation energy: -0.20 eV per atom. The density is 7.46 Mg/m³. As for the symmetry: P4/mmm (123). For the polymorph energy (0 for the lowest one), the calculation gives 0 meV per atom.

---

2.
Density functional theory data (PBE) for CsRb2Br4 after structural relaxation.

The structure in POSCAR format:
```
CsRb2Br4
1.0
6.635 0.000 0.000
0.000 6.635 0.000
3.317 3.317 9.003
Cs Br Rb
1 4 2
Direct
0.000 0.000 0.000
0.799 0.799 0.402
0.201 0.201 0.598
0.000 0.500 0.000
0.500 0.000 0.000
0.616 0.616 0.767
0.384 0.384 0.233
```

Properties
Its total energy is -2.60 eV/atom. Its formation energy without anion corrections is -8.687 eV/f.u. As for the spin magnetization: 0.97 Bohr magnetons per cell. Its density of states at the Fermi level is 13.29 states/eV/f.u. The density is 2.61 Mg/m³. As for the symmetry: I4/mmm (139).